# BeSn3Ge | Alexandria via LeMat-Bulk | PBE | optimized geometry
data_BeSn3Ge
_chemical_formula_sum 'Be1 Sn3 Ge1'
_cell_length_a 5.325
_cell_length_b 5.325
_cell_length_c 5.325
_cell_angle_alpha 90.00
_cell_angle_beta 90.00
_cell_angle_gamma 90.00
_space_group_name_H-M_alt 'P 1'
_space_group_IT_number 1
loop_
_space_group_symop_operation_xyz
'x,y,z'
loop_
_atom_site_label
_atom_site_type_symbol
_atom_site_fract_x
_atom_site_fract_y
_atom_site_fract_z
Be1 Be 0.500 0.500 0.500
Sn1 Sn 0.000 0.000 0.500
Sn2 Sn 0.500 0.000 0.000
Sn3 Sn 0.000 0.500 0.000
Ge1 Ge 0.000 0.000 0.000
# Calculated formation energy ... 1004.3 meV/atom
# Space-group type ... Pm-3m, No. 221

***

# FeB3S | Alexandria via LeMat-Bulk | PBE | optimized geometry
data_FeB3S
_chemical_formula_sum 'Fe1 B3 S1'
_cell_length_a 3.857
_cell_length_b 3.857
_cell_length_c 3.857
_cell_angle_alpha 90.00
_cell_angle_beta 90.00
_cell_angle_gamma 90.00
_space_group_name_H-M_alt 'P 1'
_space_group_IT_number 1
loop_
_space_group_symop_operation_xyz
'x,y,z'
loop_
_atom_site_label
_atom_site_type_symbol
_atom_site_fract_x
_atom_site_fract_y
_atom_site_fract_z
Fe1 Fe 0.000 0.000 0.000
S1 S 0.500 0.500 0.500
B1 B 0.000 0.500 0.000
B2 B 0.500 0.000 0.000
B3 B 0.000 0.000 0.500
# Space-group type ... Pm-3m, No. 221
# ΔE_f (raw) ... 1.372 eV per atom

***

# YZrTcCl2 | Alexandria via LeMat-Bulk | PBE | optimized geometry
data_YZrTcCl2
_chemical_formula_sum 'Y1 Zr1 Tc1 Cl2'
_cell_length_a 4.830
_cell_length_b 5.118
_cell_length_c 4.830
_cell_angle_alpha 90.00
_cell_angle_beta 90.00
_cell_angle_gamma 90.00
_space_group_name_H-M_alt 'P 1'
_space_group_IT_number 1
loop_
_space_group_symop_operation_xyz
'x,y,z'
loop_
_atom_site_label
_atom_site_type_symbol
_atom_site_fract_x
_atom_site_fract_y
_atom_site_fract_z
Tc1 Tc 0.000 0.000 0.000
Cl1 Cl 0.500 0.000 0.000
Y1 Y 0.500 0.500 0.500
Zr1 Zr 0.000 0.500 0.000
Cl2 Cl 0.000 0.000 0.500
# Space-group type ... P4/mmm, No. 123
# ΔE_f (raw) ... 0.219 eV per atom

***

# Pr5Sm12Dy | Alexandria via LeMat-Bulk | PBE | optimized geometry
data_Pr5Sm12Dy
_chemical_formula_sum 'Pr5 Sm12 Dy1'
_cell_length_a 10.953
_cell_length_b 10.944
_cell_length_c 6.313
_cell_angle_alpha 73.41
_cell_angle_beta 89.99
_cell_angle_gamma 59.97
_space_group_name_H-M_alt 'P 1'
_space_group_IT_number 1
loop_
_space_group_symop_operation_xyz
'x,y,z'
loop_
_atom_site_label
_atom_site_type_symbol
_atom_site_fract_x
_atom_site_fract_y
_atom_site_fract_z
Pr1 Pr 0.333 0.333 0.999
Sm1 Sm 0.501 0.334 0.499
Sm2 Sm 0.165 0.333 0.499
Sm3 Sm 0.999 0.669 0.999
Sm4 Sm 0.668 0.332 0.001
Dy1 Dy 0.000 0.000 0.000
Sm5 Sm 0.835 0.667 0.501
Pr2 Pr 0.667 0.667 0.001
Sm6 Sm 0.834 0.000 0.500
Pr3 Pr 0.834 0.332 0.502
Pr4 Pr 0.166 0.668 0.498
Sm7 Sm 0.499 0.666 0.501
Sm8 Sm 0.332 0.668 0.999
Pr5 Pr 0.500 0.000 0.500
Sm9 Sm 0.001 0.331 0.001
Sm10 Sm 0.669 0.000 0.000
Sm11 Sm 0.331 0.000 0.000
Sm12 Sm 0.166 0.000 0.500
# Calculated formation energy ... 15.5 meV/atom
# Space-group type ... C2/m, No. 12

***

# TcTeW4 | Alexandria via LeMat-Bulk | PBE | optimized geometry
data_TcTeW4
_chemical_formula_sum 'Tc1 Te1 W4'
_cell_length_a 5.322
_cell_length_b 5.322
_cell_length_c 5.322
_cell_angle_alpha 60.00
_cell_angle_beta 60.00
_cell_angle_gamma 60.00
_space_group_name_H-M_alt 'P 1'
_space_group_IT_number 1
loop_
_space_group_symop_operation_xyz
'x,y,z'
loop_
_atom_site_label
_atom_site_type_symbol
_atom_site_fract_x
_atom_site_fract_y
_atom_site_fract_z
Te1 Te 0.000 0.000 0.000
Tc1 Tc 0.250 0.250 0.250
W1 W 0.124 0.625 0.625
W2 W 0.625 0.625 0.625
W3 W 0.625 0.625 0.124
W4 W 0.625 0.124 0.625
# Space-group type ... F-43m, No. 216
# ΔE_f (raw) ... 0.818 eV per atom

***

# KBaLi2Hg | Alexandria via LeMat-Bulk | PBE | optimized geometry
data_KBaLi2Hg
_chemical_formula_sum 'K1 Ba1 Li2 Hg1'
_cell_length_a 5.700
_cell_length_b 5.700
_cell_length_c 6.343
_cell_angle_alpha 90.00
_cell_angle_beta 90.00
_cell_angle_gamma 90.00
_space_group_name_H-M_alt 'P 1'
_space_group_IT_number 1
loop_
_space_group_symop_operation_xyz
'x,y,z'
loop_
_atom_site_label
_atom_site_type_symbol
_atom_site_fract_x
_atom_site_fract_y
_atom_site_fract_z
Li1 Li 0.000 0.500 0.000
K1 K 0.500 0.500 0.500
Li2 Li 0.500 0.000 0.000
Hg1 Hg 0.000 0.000 0.000
Ba1 Ba 0.000 0.000 0.500
# Calculated formation energy ... -21.4 meV/atom
# Space-group type ... P4/mmm, No. 123

***

# CaGeN2O | Alexandria via LeMat-Bulk | PBE | optimized geometry
data_CaGeN2O
_chemical_formula_sum 'Ca1 Ge1 N2 O1'
_cell_length_a 4.526
_cell_length_b 4.526
_cell_length_c 4.309
_cell_angle_alpha 90.00
_cell_angle_beta 90.00
_cell_angle_gamma 90.00
_space_group_name_H-M_alt 'P 1'
_space_group_IT_number 1
loop_
_space_group_symop_operation_xyz
'x,y,z'
loop_
_atom_site_label
_atom_site_type_symbol
_atom_site_fract_x
_atom_site_fract_y
_atom_site_fract_z
O1 O 0.000 0.000 0.500
N1 N 0.500 0.000 0.000
N2 N 0.000 0.500 0.000
Ca1 Ca 0.000 0.000 0.000
Ge1 Ge 0.500 0.500 0.500
# Space-group type ... P4/mmm, No. 123
# ΔE_f (raw) ... 1.132 eV per atom

***

# DyHfIr | Alexandria via LeMat-Bulk | PBE | optimized geometry
data_DyHfIr
_chemical_formula_sum 'Dy6 Hf6 Ir6'
_cell_length_a 7.047
_cell_length_b 8.411
_cell_length_c 8.411
_cell_angle_alpha 66.38
_cell_angle_beta 65.23
_cell_angle_gamma 65.23
_space_group_name_H-M_alt 'P 1'
_space_group_IT_number 1
loop_
_space_group_symop_operation_xyz
'x,y,z'
loop_
_atom_site_label
_atom_site_type_symbol
_atom_site_fract_x
_atom_site_fract_y
_atom_site_fract_z
Hf1 Hf 0.754 0.373 0.373
Hf2 Hf 0.754 0.873 0.873
Hf3 Hf 0.499 0.627 0.627
Hf4 Hf 0.499 0.127 0.127
Ir1 Ir 0.087 0.166 0.166
Dy1 Dy 0.753 0.458 0.958
Dy2 Dy 0.753 0.958 0.458
Dy3 Dy 0.337 0.750 0.250
Ir2 Ir 0.752 0.750 0.250
Ir3 Ir 0.087 0.666 0.666
Ir4 Ir 0.420 0.834 0.834
Dy4 Dy 0.169 0.542 0.042
Ir5 Ir 0.752 0.250 0.750
Ir6 Ir 0.420 0.334 0.334
Hf5 Hf 0.007 0.500 0.500
Hf6 Hf 0.007 0.000 0.000
Dy5 Dy 0.338 0.250 0.750
Dy6 Dy 0.169 0.042 0.542
# Calculated formation energy ... -723.7 meV/atom
# Space-group type ... Amm2, No. 38

***

# Li3IrCl8 | Alexandria via LeMat-Bulk | PBE | optimized geometry
data_Li3IrCl8
_chemical_formula_sum 'Li3 Ir1 Cl8'
_cell_length_a 6.336
_cell_length_b 6.336
_cell_length_c 7.391
_cell_angle_alpha 90.00
_cell_angle_beta 90.00
_cell_angle_gamma 108.11
_space_group_name_H-M_alt 'P 1'
_space_group_IT_number 1
loop_
_space_group_symop_operation_xyz
'x,y,z'
loop_
_atom_site_label
_atom_site_type_symbol
_atom_site_fract_x
_atom_site_fract_y
_atom_site_fract_z
Li1 Li 0.500 0.500 0.000
Cl1 Cl 0.281 0.273 0.723
Cl2 Cl 0.719 0.727 0.723
Li2 Li 0.000 0.500 0.199
Ir1 Ir 0.500 0.500 0.500
Cl3 Cl 0.727 0.719 0.277
Cl4 Cl 0.275 0.725 0.500
Cl5 Cl 0.262 0.738 0.000
Cl6 Cl 0.725 0.275 0.500
Li3 Li 0.500 0.000 0.801
Cl7 Cl 0.738 0.262 0.000
Cl8 Cl 0.273 0.281 0.277
# Space-group type ... C222, No. 21
# ΔE_f (raw) ... -1.028 eV per atom

***

# RbTb2AuSe4 | Alexandria via LeMat-Bulk | PBE | optimized geometry
data_RbTb2AuSe4
_chemical_formula_sum 'Rb2 Tb4 Au2 Se8'
_cell_length_a 4.214
_cell_length_b 7.524
_cell_length_c 14.791
_cell_angle_alpha 90.00
_cell_angle_beta 90.00
_cell_angle_gamma 106.26
_space_group_name_H-M_alt 'P 1'
_space_group_IT_number 1
loop_
_space_group_symop_operation_xyz
'x,y,z'
loop_
_atom_site_label
_atom_site_type_symbol
_atom_site_fract_x
_atom_site_fract_y
_atom_site_fract_z
Tb1 Tb 0.370 0.740 0.931
Tb2 Tb 0.630 0.260 0.431
Tb3 Tb 0.630 0.260 0.069
Se1 Se 0.000 0.000 0.000
Rb1 Rb 0.123 0.247 0.750
Se2 Se 0.448 0.896 0.750
Rb2 Rb 0.877 0.753 0.250
Se3 Se 0.739 0.478 0.898
Au1 Au 0.842 0.684 0.750
Au2 Au 0.158 0.316 0.250
Se4 Se 0.261 0.522 0.102
Se5 Se 0.739 0.478 0.602
Se6 Se 0.552 0.104 0.250
Se7 Se 0.000 0.000 0.500
Se8 Se 0.261 0.522 0.398
Tb4 Tb 0.370 0.740 0.569
# Space-group type ... Cmcm, No. 63
# ΔE_f (raw) ... -1.435 eV per atom

***

# Pu3Ga2HRh3 | Alexandria via LeMat-Bulk | PBE | optimized geometry
data_Pu3Ga2HRh3
_chemical_formula_sum 'Pu3 Ga2 H1 Rh3'
_cell_length_a 4.187
_cell_length_b 6.713
_cell_length_c 6.713
_cell_angle_alpha 120.00
_cell_angle_beta 90.00
_cell_angle_gamma 90.00
_space_group_name_H-M_alt 'P 1'
_space_group_IT_number 1
loop_
_space_group_symop_operation_xyz
'x,y,z'
loop_
_atom_site_label
_atom_site_type_symbol
_atom_site_fract_x
_atom_site_fract_y
_atom_site_fract_z
Rh1 Rh 0.500 0.754 0.000
Ga1 Ga 0.500 0.333 0.667
Ga2 Ga 0.500 0.667 0.333
Pu1 Pu 0.000 0.000 0.327
Pu2 Pu 0.000 0.673 0.673
H1 H 0.000 0.000 0.000
Rh2 Rh 0.500 0.246 0.246
Pu3 Pu 0.000 0.327 0.000
Rh3 Rh 0.500 0.000 0.754
# Raw total energy ... -77.9 eV per formula unit
# Space-group type ... P-62m, No. 189

***

Mass density
In order: 4.8 3.5 4.9 7.2 15.0 3.2 2.9 13.4 2.9 6.8 12.0
Unit: Mg/m³